# 1
ScC GGA-PBE optimized geometry; ΔE to the lowest computed polymorph = 852 meV per atom; uncorrected energy = -7.386 eV/atom
1.0
4.217 0.000 0.000
0.000 4.217 0.000
0.000 0.000 2.844
Sc C
2 2
Direct
0.250 0.750 0.000 Sc
0.750 0.250 0.000 Sc
0.250 0.250 0.341 C
0.750 0.750 0.659 C

***

# 2
ScC GGA-PBE optimized geometry; ΔE to the lowest computed polymorph = 1018 meV per atom; uncorrected energy = -7.220 eV/atom
1.0
-3.434 3.434 3.434
3.434 -3.434 3.434
3.434 3.434 -3.434
Sc C
4 4
Direct
0.000 0.000 0.340 Sc
0.000 0.340 0.000 Sc
0.340 0.000 0.000 Sc
0.660 0.660 0.660 Sc
0.000 0.000 0.698 C
0.000 0.698 0.000 C
0.302 0.302 0.302 C
0.698 0.000 0.000 C

***

# 3
Sc4CSe3 GGA-PBE optimized geometry; uncorrected formation energy = -1080 kJ/mol of formula units; ΔE to the lowest computed polymorph = 0 meV per atom; uncorrected energy = -7.025 eV/atom
1.0
3.810 -5.333 0.000
3.810 5.333 0.000
0.000 0.000 3.673
Sc C Se
4 1 3
Direct
0.206 0.206 0.500 Sc
0.217 0.783 0.000 Sc
0.783 0.217 0.000 Sc
0.794 0.794 0.500 Sc
0.000 0.000 0.000 C
0.000 0.500 0.500 Se
0.500 0.000 0.500 Se
0.500 0.500 0.000 Se

***

# 4
Sc5CSe4 GGA-PBE optimized geometry; uncorrected formation energy = -1337 kJ/mol of formula units; ΔE to the lowest computed polymorph = 53 meV per atom; uncorrected energy = -6.868 eV/atom
1.0
-1.867 1.867 13.848
1.867 -1.867 13.848
1.867 1.867 -13.848
Sc C Se
5 1 4
Direct
0.000 0.000 0.000 Sc
0.209 0.209 0.000 Sc
0.422 0.422 0.000 Sc
0.578 0.578 0.000 Sc
0.791 0.791 0.000 Sc
0.500 0.500 0.000 C
0.099 0.099 0.000 Se
0.308 0.308 0.000 Se
0.692 0.692 0.000 Se
0.901 0.901 0.000 Se

***

# 5
Sc4CSe3 GGA-PBE optimized geometry; uncorrected formation energy = -923 kJ/mol of formula units; ΔE to the lowest computed polymorph = 203 meV per atom; uncorrected energy = -6.822 eV/atom
1.0
8.491 0.000 0.000
0.000 8.014 0.000
0.000 0.000 5.287
Sc C Se
8 2 6
Direct
0.000 0.084 0.000 Sc
0.000 0.817 0.521 Sc
0.219 0.689 0.003 Sc
0.281 0.311 0.503 Sc
0.500 0.183 0.021 Sc
0.500 0.916 0.500 Sc
0.719 0.311 0.503 Sc
0.781 0.689 0.003 Sc
0.000 0.817 0.976 C
0.500 0.183 0.476 C
0.000 0.141 0.502 Se
0.226 0.343 0.005 Se
0.274 0.657 0.505 Se
0.500 0.859 0.002 Se
0.726 0.657 0.505 Se
0.774 0.343 0.005 Se

***

# 6
Sc4C2Se GGA-PBE optimized geometry; uncorrected formation energy = -582 kJ/mol of formula units; ΔE to the lowest computed polymorph = 0 meV per atom; uncorrected energy = -7.613 eV/atom
1.0
1.735 -5.641 0.000
1.735 5.641 0.000
0.000 0.000 11.614
Sc C Se
8 4 2
Direct
0.000 0.000 0.000 Sc
0.000 0.000 0.500 Sc
0.259 0.741 0.605 Sc
0.259 0.741 0.895 Sc
0.426 0.574 0.250 Sc
0.574 0.426 0.750 Sc
0.741 0.259 0.105 Sc
0.741 0.259 0.395 Sc
0.366 0.634 0.061 C
0.366 0.634 0.439 C
0.634 0.366 0.561 C
0.634 0.366 0.939 C
0.110 0.890 0.250 Se
0.890 0.110 0.750 Se

***

# 7
Sc3CSe2 GGA-PBE optimized geometry; uncorrected formation energy = -749 kJ/mol of formula units; uncorrected energy = -7.159 eV/atom
1.0
-1.779 2.608 5.804
1.779 -2.608 5.804
1.779 2.608 -5.804
Sc C Se
3 1 2
Direct
0.000 0.000 0.000 Sc
0.372 0.372 0.000 Sc
0.628 0.628 0.000 Sc
0.500 0.000 0.500 C
0.176 0.676 0.500 Se
0.824 0.324 0.500 Se

***

# 8
Sc4C2Se GGA-PBE optimized geometry; uncorrected formation energy = -518 kJ/mol of formula units; ΔE to the lowest computed polymorph = 95 meV per atom; uncorrected energy = -7.518 eV/atom
1.0
-3.593 3.593 5.073
3.593 -3.593 5.073
3.593 3.593 -5.073
Sc C Se
8 4 2
Direct
0.273 0.318 0.546 Sc
0.273 0.727 0.546 Sc
0.273 0.727 0.954 Sc
0.318 0.273 0.046 Sc
0.682 0.727 0.954 Sc
0.727 0.273 0.046 Sc
0.727 0.273 0.454 Sc
0.727 0.682 0.454 Sc
0.000 0.500 0.500 C
0.500 0.000 0.000 C
0.500 0.500 0.000 C
0.500 0.500 0.500 C
0.125 0.875 0.250 Se
0.875 0.125 0.750 Se